[1]
Density functional theory data (GGA-PBE) for a geometry-optimized Ti3GaPd4 structure.

Summary:
Formation energy from the elements   -557 meV/atom
Raw total energy   -103.89 eV for the cell shown

Unit cell a=9.2246 b=5.6358 c=4.7717 alpha=90.00 beta=90.00 gamma=90.00
Sites, in units of the cell vectors:
Ti: 0.0000 0.0000 0.0000
Ti: 0.2500 0.0000 0.3975
Ti: 0.2500 0.5000 0.3871
Ti: 0.5000 0.0000 0.0000
Ti: 0.7500 0.0000 0.6025
Ti: 0.7500 0.5000 0.6129
Ga: 0.0000 0.5000 0.0000
Ga: 0.5000 0.5000 0.0000
Pd: 0.0000 0.2497 0.5000
Pd: 0.0000 0.7503 0.5000
Pd: 0.2500 0.2492 0.8837
Pd: 0.2500 0.7508 0.8837
Pd: 0.5000 0.2497 0.5000
Pd: 0.5000 0.7503 0.5000
Pd: 0.7500 0.2492 0.1163
Pd: 0.7500 0.7508 0.1163

[2]
Density functional theory data (GGA-PBE) for a geometry-optimized TiGa2Pd structure.

Summary:
Formation energy from the elements   -540 meV/atom
Raw total energy   -21.30 eV for the cell shown

Unit cell a=4.0159 b=4.0159 c=3.8378 alpha=90.00 beta=90.00 gamma=90.00
Sites, in units of the cell vectors:
Ti: 0.0000 0.0000 0.0000
Ga: 0.0000 0.5000 0.5000
Ga: 0.5000 0.0000 0.5000
Pd: 0.5000 0.5000 0.0000

[3]
Density functional theory data (GGA-PBE) for a geometry-optimized Ti6Ga12Pd structure.

Summary:
Formation energy from the elements   -343 meV/atom
Raw total energy   -95.39 eV for the cell shown

Unit cell a=6.8340 b=6.8340 c=6.8340 alpha=95.98 beta=95.98 gamma=95.98
Sites, in units of the cell vectors:
Ti: 0.1968 0.3467 0.7583
Ti: 0.2417 0.8032 0.6533
Ti: 0.3467 0.7583 0.1968
Ti: 0.6533 0.2417 0.8032
Ti: 0.7583 0.1968 0.3467
Ti: 0.8032 0.6533 0.2417
Ga: 0.0162 0.6938 0.9417
Ga: 0.0583 0.9838 0.3062
Ga: 0.1318 0.4759 0.3887
Ga: 0.3062 0.0583 0.9838
Ga: 0.3887 0.1318 0.4759
Ga: 0.4759 0.3887 0.1318
Ga: 0.5241 0.6113 0.8682
Ga: 0.6113 0.8682 0.5241
Ga: 0.6938 0.9417 0.0162
Ga: 0.8682 0.5241 0.6113
Ga: 0.9417 0.0162 0.6938
Ga: 0.9838 0.3062 0.0583
Pd: 0.5000 0.5000 0.5000

[4]
Density functional theory data (GGA-PBE) for a geometry-optimized TiGa2Pd5 structure.

Summary:
Formation energy from the elements   -529 meV/atom
Raw total energy   -88.29 eV for the cell shown

Unit cell a=7.2382 b=7.2382 c=7.2382 alpha=124.67 beta=124.67 gamma=82.08
Sites, in units of the cell vectors:
Ti: 0.2500 0.2500 0.0000
Ti: 0.7500 0.7500 0.0000
Ga: 0.1468 0.6468 0.7936
Ga: 0.3532 0.1468 0.5000
Ga: 0.6468 0.8532 0.5000
Ga: 0.8532 0.3532 0.2064
Pd: 0.0000 0.0000 0.0000
Pd: 0.0049 0.8115 0.5000
Pd: 0.1885 0.6885 0.1935
Pd: 0.3115 0.5049 0.5000
Pd: 0.4951 0.9951 0.8065
Pd: 0.5000 0.5000 0.0000
Pd: 0.5049 0.0049 0.1935
Pd: 0.6885 0.4951 0.5000
Pd: 0.8115 0.3115 0.8065
Pd: 0.9951 0.1885 0.5000

[5]
Density functional theory data (GGA-PBE) for a geometry-optimized Ti3Ga5Pd structure.

Summary:
Formation energy from the elements   -330 meV/atom
Raw total energy   -93.96 eV for the cell shown

Unit cell a=7.8549 b=7.8549 c=5.3958 alpha=90.00 beta=90.00 gamma=120.00
Sites, in units of the cell vectors:
Ti: 0.0000 0.3764 0.2500
Ti: 0.0000 0.6236 0.7500
Ti: 0.3764 0.0000 0.2500
Ti: 0.3764 0.3764 0.7500
Ti: 0.6236 0.0000 0.7500
Ti: 0.6236 0.6236 0.2500
Ga: 0.0000 0.2859 0.7500
Ga: 0.0000 0.7141 0.2500
Ga: 0.2859 0.0000 0.7500
Ga: 0.2859 0.2859 0.2500
Ga: 0.3333 0.6667 0.0000
Ga: 0.3333 0.6667 0.5000
Ga: 0.6667 0.3333 0.0000
Ga: 0.6667 0.3333 0.5000
Ga: 0.7141 0.0000 0.2500
Ga: 0.7141 0.7141 0.7500
Pd: 0.0000 0.0000 0.0000
Pd: 0.0000 0.0000 0.5000

[6]
Density functional theory data (GGA-PBE) for a geometry-optimized TiGa2Pd2 structure.

Summary:
Formation energy from the elements   -469 meV/atom
Raw total energy   -53.35 eV for the cell shown

Unit cell a=7.3161 b=7.3161 c=2.9473 alpha=90.00 beta=90.00 gamma=90.00
Sites, in units of the cell vectors:
Ti: 0.0000 0.0000 0.0000
Ti: 0.5000 0.5000 0.0000
Ga: 0.1355 0.3645 0.0000
Ga: 0.3645 0.8645 0.0000
Ga: 0.6355 0.1355 0.0000
Ga: 0.8645 0.6355 0.0000
Pd: 0.1637 0.6637 0.5000
Pd: 0.3363 0.1637 0.5000
Pd: 0.6637 0.8363 0.5000
Pd: 0.8363 0.3363 0.5000

[7]
Density functional theory data (GGA-PBE) for a geometry-optimized Ti5GaPd6 structure.

Summary:
Formation energy from the elements   -559 meV/atom
Raw total energy   -80.37 eV for the cell shown

Unit cell a=7.4347 b=7.4347 c=7.4347 alpha=148.37 beta=119.06 gamma=70.30
Sites, in units of the cell vectors:
Ti: 0.0000 0.0000 0.0000
Ti: 0.1542 0.6542 0.5000
Ti: 0.3218 0.3218 0.0000
Ti: 0.6782 0.6782 0.0000
Ti: 0.8458 0.3458 0.5000
Ga: 0.5000 0.0000 0.5000
Pd: 0.0896 0.8323 0.2572
Pd: 0.2694 0.5000 0.7694
Pd: 0.4249 0.1677 0.2572
Pd: 0.5751 0.8323 0.7428
Pd: 0.7306 0.5000 0.2306
Pd: 0.9104 0.1677 0.7428

[8]
Density functional theory data (GGA-PBE) for a geometry-optimized TiGaPd structure.

Summary:
Formation energy from the elements   -655 meV/atom
Raw total energy   -36.16 eV for the cell shown

Unit cell a=4.4459 b=4.4459 c=5.3903 alpha=90.00 beta=90.00 gamma=120.00
Sites, in units of the cell vectors:
Ti: 0.0000 0.0000 0.0000
Ti: 0.0000 0.0000 0.5000
Ga: 0.3333 0.6667 0.2500
Ga: 0.6667 0.3333 0.7500
Pd: 0.3333 0.6667 0.7500
Pd: 0.6667 0.3333 0.2500

[9]
Density functional theory data (GGA-PBE) for a geometry-optimized TiGaPd2 structure.

Summary:
Formation energy from the elements   154 meV/atom
Raw total energy   -82.76 eV for the cell shown

Unit cell a=5.6715 b=5.6715 c=11.1954 alpha=90.00 beta=90.00 gamma=90.00
Sites, in units of the cell vectors:
Ti: 0.0000 0.0000 0.0000
Ti: 0.0000 0.5000 0.2500
Ti: 0.5000 0.0000 0.7500
Ti: 0.5000 0.5000 0.5000
Ga: 0.0000 0.0000 0.5000
Ga: 0.0000 0.5000 0.7500
Ga: 0.5000 0.0000 0.2500
Ga: 0.5000 0.5000 0.0000
Pd: 0.2452 0.2500 0.6250
Pd: 0.2500 0.7452 0.8750
Pd: 0.2500 0.7548 0.3750
Pd: 0.2548 0.2500 0.1250
Pd: 0.7452 0.7500 0.1250
Pd: 0.7500 0.2452 0.3750
Pd: 0.7500 0.2548 0.8750
Pd: 0.7548 0.7500 0.6250

[10]
Density functional theory data (GGA-PBE) for a geometry-optimized Ti5Ga2Pd2 structure.

Summary:
Formation energy from the elements   -307 meV/atom
Raw total energy   -58.68 eV for the cell shown

Unit cell a=4.5265 b=4.5265 c=8.3475 alpha=90.00 beta=90.00 gamma=120.00
Sites, in units of the cell vectors:
Ti: 0.0000 0.0000 0.0000
Ti: 0.3333 0.6667 0.1744
Ti: 0.3333 0.6667 0.8256
Ti: 0.6667 0.3333 0.3119
Ti: 0.6667 0.3333 0.6881
Ga: 0.0000 0.0000 0.3372
Ga: 0.0000 0.0000 0.6628
Pd: 0.3333 0.6667 0.5000
Pd: 0.6667 0.3333 0.0000

[11]
Density functional theory data (GGA-PBE) for a geometry-optimized TiGa2Pd structure.

Summary:
Formation energy from the elements   -442 meV/atom
Raw total energy   -20.91 eV for the cell shown

Unit cell a=2.9674 b=2.9674 c=8.3948 alpha=90.00 beta=90.00 gamma=120.00
Sites, in units of the cell vectors:
Ti: 0.0000 0.0000 0.0000
Ga: 0.3333 0.6667 0.7388
Ga: 0.6667 0.3333 0.2612
Pd: 0.0000 0.0000 0.5000

[12]
Density functional theory data (GGA-PBE) for a geometry-optimized TiGaPd2 structure.

Summary:
Formation energy from the elements   -577 meV/atom
Raw total energy   -23.62 eV for the cell shown

Unit cell a=3.3282 b=3.3282 c=5.6193 alpha=90.00 beta=90.00 gamma=90.00
Sites, in units of the cell vectors:
Ti: 0.0000 0.0000 0.0000
Ga: 0.0000 0.0000 0.5000
Pd: 0.5000 0.5000 0.2464
Pd: 0.5000 0.5000 0.7536